Entry 1:
VASP calculation (meta-GGA SCAN) on a PBEsol-optimized structure of Mg2CdPb.

Summary:
density: 6.63 g/cm3
electronic total energy: -29.18 eV per atom
total magnetization: 0.0 Bohr magnetons per cell

Lattice parameters (Å, degrees): 6.5751 8.4787 3.3072 90.00 90.00 90.00
With the nearest neighbours (Å) after each atom.
Space group Cmmm (No. 65)
Symmetry-distinct sites (fractional):
Mg 0.2500 0.2500 0.0000 [4 per cell]  4 Cd 3.15, 4 Pb 3.15, 4 Mg 3.29-3.31
Cd 0.0000 0.0000 0.5000 [2 per cell]  8 Mg 3.15, 2 Pb 3.29, 2 Cd 3.31
Pb 0.0000 0.5000 0.5000 [2 per cell]  8 Mg 3.15, 2 Cd 3.29, 2 Pb 3.31

---

Entry 2:
VASP calculation (meta-GGA SCAN) on a PBEsol-optimized structure of MgCd2Pb.

Summary:
density: 7.86 g/cm3
electronic total energy: -35.33 eV per atom
total magnetization: 0.0 Bohr magnetons per cell
ΔE to the lowest computed polymorph: 0.1123 eV per atom

Lattice parameters (Å, degrees): 7.2801 7.2801 7.2801 90.00 90.00 90.00
With the nearest neighbours (Å) after each atom.
Space group Fm-3m (No. 225)
Symmetry-distinct sites (fractional):
Mg 0.0000 0.0000 0.0000 [4 per cell]  8 Cd 3.15
Cd 0.2500 0.2500 0.2500 [8 per cell]  4 Mg 3.15, 4 Pb 3.15
Pb 0.0000 0.0000 0.5000 [4 per cell]  8 Cd 3.15

---

Entry 3:
VASP calculation (meta-GGA SCAN) on a PBEsol-optimized structure of MgCd2Pb.

Summary:
density: 8.08 g/cm3
electronic total energy: -35.43 eV per atom
total magnetization: 0.0 Bohr magnetons per cell
ΔE to the lowest computed polymorph: 0.0156 eV per atom

Lattice parameters (Å, degrees): 4.5370 4.5370 9.1114 90.00 90.00 90.00
With the nearest neighbours (Å) after each atom.
Space group I-4m2 (No. 119)
Symmetry-distinct sites (fractional):
Mg 0.0000 0.0000 0.0000 [2 per cell]  8 Cd 3.21, 4 Pb 3.21
Cd 0.0000 0.0000 0.5000 [2 per cell]  4 Mg 3.21, 4 Cd 3.21, 4 Pb 3.21
Cd 0.0000 0.5000 0.7500 [2 per cell]  4 Pb 3.21, 4 Cd 3.21, 4 Mg 3.21
Pb 0.0000 0.5000 0.2500 [2 per cell]  8 Cd 3.21, 4 Mg 3.21